1.
The following is a GGA-PBE calculation of an optimized crystal structure of ZrTeCl, from Alexandria via LeMat-Bulk.

Its formation energy (no corrections) is -142 meV/atom.

The structure belongs to space group F-43m (No. 216); the cell edges are 7.0101, 7.0101 and 7.0101 Å and the angles 90.00°, 90.00° and 90.00°. The asymmetric unit holds Zr at (0.0000, 0.0000, 0.0000), Te at (0.2500, 0.2500, 0.2500) and Cl at (0.0000, 0.0000, 0.5000).


2.
The following is a GGA-PBE calculation of an optimized crystal structure of La3SmDy2Te6, from Alexandria via LeMat-Bulk.

Its formation energy (no corrections) is -1460 meV/atom.

The structure belongs to space group C2/m (No. 12); the cell edges are 19.5655, 4.4590 and 9.0181 Å and the angles 90.00°, 103.81° and 90.00°. The asymmetric unit holds La at (0.0000, 0.0000, 0.0000), La at (0.1644, 0.5000, 0.3327), Sm at (0.0000, 0.0000, 0.5000), Dy at (0.1658, 0.5000, 0.8319), Te at (0.0046, 0.5000, 0.7463), Te at (0.1658, 0.0000, 0.5942) and Te at (0.1709, 0.0000, 0.0738).


3.
The following is a GGA-PBE calculation of an optimized crystal structure of TaSbRh2, from Alexandria via LeMat-Bulk.

Its formation energy (no corrections) is -241 meV/atom.

The structure belongs to space group P4/mmm (No. 123); the cell edges are 4.0913, 4.0913 and 3.9849 Å and the angles 90.00°, 90.00° and 90.00°. The asymmetric unit holds Ta at (0.0000, 0.0000, 0.0000), Sb at (0.5000, 0.5000, 0.0000) and Rh at (0.0000, 0.5000, 0.5000).


4.
The following is a GGA-PBE calculation of an optimized crystal structure of HfNb3W, from Alexandria via LeMat-Bulk.

The value obtained for the energy above the most stable polymorph in this dataset is 1016 meV/atom.

The structure belongs to space group I-4m2 (No. 119); the cell edges are 5.1732, 5.1732 and 17.9722 Å and the angles 90.00°, 90.00° and 90.00°. The asymmetric unit holds Hf at (0.0000, 0.0000, 0.1774), Nb at (0.0000, 0.2517, 0.6244), Nb at (0.0000, 0.5000, 0.0381), W at (0.0000, 0.0000, 0.5000) and W at (0.0000, 0.5000, 0.7500).


5.
The following is a GGA-PBE calculation of an optimized crystal structure of SiAsS2N, from Alexandria via LeMat-Bulk.

Its formation energy (no corrections) is 363 meV/atom. The value obtained for the energy above the most stable polymorph in this dataset is 0 meV/atom.

The structure belongs to space group P4/mmm (No. 123); the cell edges are 4.7653, 4.7653 and 3.3366 Å and the angles 90.00°, 90.00° and 90.00°. The asymmetric unit holds Si at (0.0000, 0.0000, 0.0000), As at (0.5000, 0.5000, 0.5000), S at (0.0000, 0.5000, 0.0000) and N at (0.0000, 0.0000, 0.5000).


6.
The following is a GGA-PBE calculation of an optimized crystal structure of HfTa2Fe4, from Alexandria via LeMat-Bulk.

For the energy, the calculation gives -0.314 hartree per atom.

The structure belongs to space group I4/mmm (No. 139); the cell edges are 4.4277, 4.4277 and 12.7954 Å and the angles 90.00°, 90.00° and 90.00°. The asymmetric unit holds Hf at (0.0000, 0.0000, 0.0000), Ta at (0.0000, 0.0000, 0.3863), Fe at (0.0000, 0.0000, 0.2015) and Fe at (0.0000, 0.5000, 0.0000).


no.,size of the total moment (μB per atom)
1,0.34
2,0.00
3,0.00
4,0.00
5,0.00
6,0.44